# 1
TaAs3 (PBE, relaxed); crystal system = cubic; E_tot = -6.09 eV per atom; SG = Pm-3m
1.0
5.011 0.000 0.000
0.000 5.011 0.000
0.000 0.000 5.011
Ta As
1 3
direct
0.000 0.000 0.000
0.000 0.000 0.500
0.000 0.500 0.000
0.500 0.000 0.000

# 2
TaAs2 (PBE, relaxed); crystal system = cubic; E_tot = -6.86 eV per atom; SG = Pa-3
1.0
6.374 0.000 0.000
0.000 6.374 0.000
0.000 0.000 6.374
Ta As
4 8
direct
0.000 0.000 0.000
0.000 0.500 0.500
0.500 0.000 0.500
0.500 0.500 0.000
0.117 0.617 0.883
0.117 0.883 0.383
0.383 0.117 0.883
0.383 0.383 0.383
0.617 0.617 0.617
0.617 0.883 0.117
0.883 0.117 0.617
0.883 0.383 0.117

# 3
Ta5As (PBE, relaxed); crystal system = hexagonal; E_tot = -9.90 eV per atom; distance to the lowest polymorph of the same formula = 842.4 meV per atom; SG = P6/mmm
1.0
5.279 0.000 0.000
-2.639 4.572 0.000
0.000 0.000 5.105
Ta As
5 1
direct
0.000 0.500 0.000
0.333 0.667 0.500
0.500 0.000 0.000
0.500 0.500 0.000
0.667 0.333 0.500
0.000 0.000 0.500

# 4
Ta5As3 (PBE, relaxed); crystal system = orthorhombic; E_tot = -9.34 eV per atom; distance to the lowest polymorph of the same formula = 120.6 meV per atom; SG = Cmmm
1.0
3.720 -4.101 0.000
3.720 4.101 0.000
0.000 0.000 4.464
Ta As
5 3
direct
0.000 0.000 0.000
0.000 0.500 0.000
0.299 0.299 0.500
0.500 0.000 0.000
0.701 0.701 0.500
0.213 0.787 0.500
0.500 0.500 0.000
0.787 0.213 0.500

# 5
TaAs3 (PBE, relaxed); crystal system = orthorhombic; E_tot = -6.32 eV per atom; SG = Cmmm
1.0
1.771 -2.202 0.000
1.771 2.202 0.000
0.000 0.000 10.965
Ta As
1 3
direct
0.000 0.000 0.000
0.000 0.000 0.500
0.500 0.500 0.189
0.500 0.500 0.811

# 6
Ta4As (PBE, relaxed); crystal system = tetragonal; E_tot = -9.69 eV per atom; distance to the lowest polymorph of the same formula = 0.0 meV per atom; SG = I4/mmm
1.0
-1.804 1.804 7.554
1.804 -1.804 7.554
1.804 1.804 -7.554
Ta As
4 1
direct
0.093 0.093 0.000
0.250 0.750 0.500
0.750 0.250 0.500
0.907 0.907 0.000
0.500 0.500 0.000

# 7
Ta3As (PBE, relaxed); crystal system = orthorhombic; E_tot = -10.00 eV per atom; SG = Pmmn
1.0
4.913 0.000 0.000
0.000 5.709 0.000
0.000 0.000 5.036
Ta As
6 2
direct
0.250 0.002 0.161
0.250 0.498 0.161
0.250 0.750 0.679
0.750 0.250 0.321
0.750 0.502 0.839
0.750 0.998 0.839
0.250 0.250 0.651
0.750 0.750 0.349

# 8
Ta3As4 (PBE, relaxed); crystal system = hexagonal; E_tot = -7.54 eV per atom; distance to the lowest polymorph of the same formula = 565.4 meV per atom; SG = P6/mmm
1.0
5.551 0.000 0.000
-2.776 4.808 0.000
0.000 0.000 4.848
Ta As
3 4
direct
0.000 0.500 0.000
0.500 0.000 0.000
0.500 0.500 0.000
0.000 0.000 0.252
0.000 0.000 0.748
0.333 0.667 0.500
0.667 0.333 0.500

# 9
Ta3As (PBE, relaxed); crystal system = orthorhombic; E_tot = -10.08 eV per atom; SG = Cmcm
1.0
4.302 -3.355 0.000
4.302 3.355 0.000
0.000 0.000 4.937
Ta As
6 2
direct
0.094 0.341 0.750
0.172 0.828 0.750
0.341 0.094 0.250
0.659 0.906 0.750
0.828 0.172 0.250
0.906 0.659 0.250
0.405 0.595 0.250
0.595 0.405 0.750

# 10
TaAs2 (PBE, relaxed); crystal system = tetragonal; E_tot = -7.07 eV per atom; SG = I4/mmm
1.0
-1.457 1.457 7.383
1.457 -1.457 7.383
1.457 1.457 -7.383
Ta As
1 2
direct
0.000 0.000 0.000
0.367 0.367 0.000
0.633 0.633 0.000

# 11
Ta4As (PBE, relaxed); crystal system = cubic; E_tot = -9.65 eV per atom; distance to the lowest polymorph of the same formula = 35.5 meV per atom; SG = Im-3m
1.0
-2.960 2.960 2.960
2.960 -2.960 2.960
2.960 2.960 -2.960
Ta As
4 1
direct
0.000 0.000 0.500
0.000 0.500 0.000
0.500 0.000 0.000
0.500 0.500 0.500
0.000 0.000 0.000

# 12
Ta3As (PBE, relaxed); crystal system = orthorhombic; E_tot = -10.15 eV per atom; SG = Imm2
1.0
-1.716 4.102 2.561
1.716 -4.102 2.561
1.716 4.102 -2.561
Ta As
3 1
direct
0.000 0.000 0.000
0.343 0.565 0.778
0.787 0.565 0.222
0.394 0.894 0.500

Table of energy of formation from the pure elements (meV/atom), in record order: 363.8; 190.1; 748.9; -187.6; 133.2; 724.5; 48.7; 192.1; -32.8; -24.4; 760.0; -101.9